Record 1
Material: PmNd4Er3Te8
Method: DFT, PBE
State: relaxed

The electronic total energy comes out at -5.257 eV per atom. The value obtained for the total magnetization is 0.00 μB per cell. For the uncorrected formation energy, the calculation gives -1.341 eV per atom.

The structure belongs to space group R-3m (No. 166, hexagonal axes); the cell edges are 8.7638, 8.7638 and 22.1670 Å and the angles 90.00°, 90.00° and 120.00°. The distinct sites, in fractional coordinates, are Pm at (0.0000, 0.0000, 0.0000), Nd at (0.0000, 0.0000, 0.5000), Nd at (0.0000, 0.5000, 0.5000), Er at (0.0000, 0.5000, 0.0000), Te at (0.0000, 0.0000, 0.2553) and Te at (0.0060, 0.5030, 0.2539).

***

Record 2
Material: Pm3Nd4ErTe8
Method: DFT, PBE
State: relaxed

The electronic total energy comes out at -5.325 eV per atom. The value obtained for the total magnetization is 0.00 μB per cell. For the uncorrected formation energy, the calculation gives -1.386 eV per atom.

The structure belongs to space group C2/m (No. 12); the cell edges are 15.442, 8.931 and 8.931 Å and the angles 90.00°, 125.12° and 90.00°. The distinct sites, in fractional coordinates, are Pm at (0.000, 0.000, 0.000), Pm at (0.250, 0.250, 0.000), Nd at (0.000, 0.000, 0.500), Nd at (0.000, 0.500, 0.500), Nd at (0.250, 0.250, 0.500), Er at (0.000, 0.500, 0.000), Te at (0.001, 0.255, 0.757), Te at (0.244, 0.500, 0.243) and Te at (0.249, 0.000, 0.247).

***

Record 3
Material: Pm3Nd3ErTe8
Method: DFT, PBE
State: relaxed

The electronic total energy comes out at -5.321 eV per atom. The value obtained for the total magnetization is 0.00 μB per cell. For the uncorrected formation energy, the calculation gives -1.437 eV per atom.

The structure belongs to space group R-3m (No. 166, hexagonal axes); the cell edges are 8.9260, 8.9260 and 21.8266 Å and the angles 90.00°, 90.00° and 120.00°. The distinct sites, in fractional coordinates, are Pm at (0.0000, 0.5000, 0.0000), Nd at (0.0000, 0.5000, 0.5000), Er at (0.0000, 0.0000, 0.5000), Te at (0.0000, 0.0000, 0.2508) and Te at (0.0031, 0.5016, 0.2500).

***

Record 4
Material: PmNd5Er2Th
Method: DFT, PBE
State: relaxed

The electronic total energy comes out at -4.855 eV per atom. The calculation puts the energy of formation from the pure elements at 0.160 eV per atom. The value obtained for the total magnetization is 0.00 μB per cell.

The structure belongs to space group Cmc2_1 (No. 36); the cell edges are 5.706, 20.509 and 10.609 Å and the angles 90.00°, 90.00° and 90.00°. The distinct sites, in fractional coordinates, are Pm at (0.000, 0.091, 0.000), Nd at (0.000, 0.022, 0.708), Nd at (0.000, 0.113, 0.423), Nd at (0.000, 0.207, 0.747), Nd at (0.000, 0.223, 0.137), Nd at (0.000, 0.485, 0.429), Er at (0.000, 0.384, 0.134), Er at (0.000, 0.387, 0.713) and Th at (0.000, 0.301, 0.438).

***

Record 5
Material: Pm5NdEr2Th
Method: DFT, PBE
State: relaxed

The electronic total energy comes out at -4.846 eV per atom. The calculation puts the energy of formation from the pure elements at 0.162 eV per atom. The value obtained for the total magnetization is 0.00 μB per cell.

The structure belongs to space group Cmc2_1 (No. 36); the cell edges are 5.695, 20.392 and 10.557 Å and the angles 90.00°, 90.00° and 90.00°. The distinct sites, in fractional coordinates, are Pm at (0.000, 0.016, 0.000), Pm at (0.000, 0.277, 0.292), Pm at (0.000, 0.294, 0.682), Pm at (0.000, 0.388, 0.005), Pm at (0.000, 0.477, 0.719), Nd at (0.000, 0.411, 0.425), Er at (0.000, 0.113, 0.713), Er at (0.000, 0.116, 0.296) and Th at (0.000, 0.199, 0.991).

***

Record 6
Material: PmNd2ErTh
Method: DFT, PBE
State: relaxed

The electronic total energy comes out at -4.943 eV per atom. The calculation puts the energy of formation from the pure elements at 0.310 eV per atom. The value obtained for the total magnetization is 0.00 μB per cell.

The structure belongs to space group P2/c (No. 13); the cell edges are 8.664, 6.429 and 6.405 Å and the angles 90.00°, 96.86° and 90.00°. The distinct sites, in fractional coordinates, are Pm at (0.000, 0.000, 0.000), Nd at (0.314, 0.304, 0.211), Er at (0.500, 0.176, 0.750) and Th at (0.000, 0.452, 0.750).

***

Record 7
Material: Pm6NdEr2Th
Method: DFT, PBE
State: relaxed

The electronic total energy comes out at -4.839 eV per atom. The calculation puts the energy of formation from the pure elements at 0.142 eV per atom. The value obtained for the total magnetization is 0.01 μB per cell.

The structure belongs to space group C2/c (No. 15); the cell edges are 9.385, 15.005 and 9.721 Å and the angles 90.00°, 97.55° and 90.00°. The distinct sites, in fractional coordinates, are Pm at (0.066, 0.174, 0.441), Pm at (0.094, 0.392, 0.619), Pm at (0.204, 0.220, 0.815), Nd at (0.000, 0.405, 0.250), Er at (0.244, 0.046, 0.052) and Th at (0.000, 0.032, 0.750).

***

Record 8
Material: PmNd4Er2Th
Method: DFT, PBE
State: relaxed

The electronic total energy comes out at -5.005 eV per atom. The calculation puts the energy of formation from the pure elements at 0.041 eV per atom. The value obtained for the total magnetization is 0.00 μB per cell.

The structure belongs to space group C2/m (No. 12); the cell edges are 11.467, 5.136 and 10.230 Å and the angles 90.00°, 116.63° and 90.00°. The distinct sites, in fractional coordinates, are Pm at (0.000, 0.000, 0.000), Nd at (0.248, 0.500, 0.622), Nd at (0.249, 0.000, 0.872), Er at (0.002, 0.500, 0.746) and Th at (0.000, 0.000, 0.500).